# GGA-PBE YTi2Ga4, relaxed
# * crystal system: tetragonal
# * energy of formation: -366 kJ/mol of formula units
# * DFT total energy: -5.45 eV/atom
# * E above lowest polymorph: 0 meV per atom
data_YTi2Ga4
_symmetry_space_group_name_H-M 'I 4/m m m'
_symmetry_Int_Tables_number 139
_symmetry_space_group_name_Hall '-I 4 2'
_cell_length_a 6.774
_cell_length_b 6.774
_cell_length_c 5.452
_cell_angle_alpha 90.00
_cell_angle_beta 90.00
_cell_angle_gamma 90.00
loop_
_atom_site_label
_atom_site_type_symbol
_atom_site_fract_x
_atom_site_fract_y
_atom_site_fract_z
Y1 Y 0.000 0.000 0.000
Ti1 Ti 0.000 0.500 0.250
Ga1 Ga 0.197 0.197 0.500